{
  "formula": "Ca2WO6",
  "functional": "PBE+U",
  "state": "relaxed",
  "e_tot_ha_per_atom": -0.2458,
  "cell": [[5.1387, 0.0000, 0.0000], [0.0000, 5.1387, 0.0000], [0.0000, 0.0000, 10.1955]],
  "species": ["Ca", "Ca", "Ca", "Ca", "W", "W", "O", "O", "O", "O", "O", "O", "O", "O", "O", "O", "O", "O"],
  "frac_coords": [[0.0000, 0.0000, 0.1692], [0.0000, 0.0000, 0.8308], [0.5000, 0.5000, 0.3308], [0.5000, 0.5000, 0.6692], [0.0000, 0.0000, 0.5000], [0.5000, 0.5000, 0.0000], [0.1831, 0.1831, 0.3607], [0.1831, 0.1831, 0.6393], [0.2332, 0.2332, 0.0000], [0.2668, 0.7332, 0.5000], [0.3169, 0.6831, 0.1393], [0.3169, 0.6831, 0.8607], [0.6831, 0.3169, 0.1393], [0.6831, 0.3169, 0.8607], [0.7332, 0.2668, 0.5000], [0.7668, 0.7668, 0.0000], [0.8169, 0.8169, 0.3607], [0.8169, 0.8169, 0.6393]]
}